This record from Alexandria via LeMat-Bulk describes a relaxed K2ZrBAu crystal. The functional is GGA-PBEsol.

Properties
total energy	-3.330	eV/atom
DOS at the Fermi energy	1.1888	states/eV/atom
total magnetization	0.55	μB per atom

Lattice parameters (Å, degrees): 6.3995 6.3995 4.0036 90.00 90.00 90.00
Last column: nearest neighbours and their distance in Å.
Space group P4/mmm (No. 123)
Unique sites:
K (0.0000, 0.5000, 0.0000) (multiplicity 2)  2 Au 3.20
Zr (0.0000, 0.0000, 0.5000) (multiplicity 1)  8 K 3.77, 2 Zr 4.00
B (0.5000, 0.5000, 0.5000) (multiplicity 1)  2 Au 2.00
Au (0.5000, 0.5000, 0.0000) (multiplicity 1)  2 B 2.00